! GGA+U Cs2CoPdO4, optimized geometry; values from VASP
! * total moment: 3.00 μB per formula unit
! * energy: -4.95 eV per atom
&SYSTEM
  ibrav = 0, nat = 16, ntyp = 4
/
ATOMIC_SPECIES
Cs 132.91 Cs.upf
Co 58.93 Co.upf
Pd 106.42 Pd.upf
O 16.00 O.upf
CELL_PARAMETERS angstrom
-0.073 5.035 -2.798
-6.703 1.380 -3.273
-3.269 7.259 7.219
ATOMIC_POSITIONS angstrom
Cs -2.172 5.650 4.294
Cs -1.170 6.645 0.128
Cs -6.138 9.705 2.800
Cs -3.943 6.487 -3.051
Co -5.004 5.578 1.273
Co -0.036 2.518 -1.399
Pd -5.040 8.096 -0.125
Pd 0.000 0.000 0.000
O -5.552 2.999 -3.669
O -4.459 8.424 6.068
O -8.821 12.461 2.211
O -1.256 3.465 -2.314
O -6.191 6.477 0.270
O -3.850 6.931 1.026
O -6.264 9.310 -1.189
O -3.784 4.631 2.189